Entry 1:
Compound: Cu2MoBr
Source: the Alexandria database
Functional: PBE-GGA
Structure: optimized geometry

Values from the calculation:
- Density of states at the Fermi level: 0.96 states/eV/atom
- Volume: 16.83 Å³ per atom
- Formation energy (no corrections): 0.543 eV per atom

abc: 2.833 2.833 8.391
angles: 90.00 90.00 90.00
Space group P4/mmm (No. 123)
Asymmetric unit:
Cu: 0.000 0.000 0.216
Mo: 0.500 0.500 0.000
Br: 0.500 0.500 0.500

Entry 2:
Compound: CuMo2Br
Source: the Alexandria database
Functional: PBE-GGA
Structure: optimized geometry

Values from the calculation:
- Density of states at the Fermi level: 0.91 states/eV/atom
- Volume: 17.32 Å³ per atom
- Formation energy (no corrections): 0.878 eV per atom

abc: 3.763 3.763 19.571
angles: 90.00 90.00 90.00
Space group I-42d (No. 122)
Asymmetric unit:
Cu: 0.000 0.000 0.000
Mo: 0.218 0.250 0.125
Br: 0.000 0.000 0.500

Entry 3:
Compound: CuMo2Br
Source: the Alexandria database
Functional: PBE-GGA
Structure: optimized geometry

Values from the calculation:
- Density of states at the Fermi level: 0.43 states/eV/atom
- Volume: 17.15 Å³ per atom
- Formation energy (no corrections): 0.518 eV per atom

abc: 2.9498 2.9498 27.3117
angles: 90.00 90.00 120.00
Space group R3m (No. 160, hexagonal axes)
Asymmetric unit:
Cu: 0.0000 0.0000 0.0000
Mo: 0.0000 0.0000 0.4924
Mo: 0.0000 0.0000 0.7415
Br: 0.0000 0.0000 0.2322

Entry 4:
Compound: CuMo2Br
Source: the Alexandria database
Functional: PBE-GGA
Structure: optimized geometry

Values from the calculation:
- Density of states at the Fermi level: 0.76 states/eV/atom
- Volume: 17.02 Å³ per atom
- Formation energy (no corrections): 0.668 eV per atom

abc: 3.214 3.214 6.587
angles: 90.00 90.00 90.00
Space group P4/mmm (No. 123)
Asymmetric unit:
Cu: 0.000 0.000 0.000
Mo: 0.500 0.500 0.186
Br: 0.000 0.000 0.500

Entry 5:
Compound: CuMo3Br
Source: the Alexandria database
Functional: PBE-GGA
Structure: optimized geometry

Values from the calculation:
- Density of states at the Fermi level: 1.43 states/eV/atom
- Volume: 19.61 Å³ per atom
- Formation energy (no corrections): 1.933 eV per atom

abc: 4.611 4.611 4.611
angles: 90.00 90.00 90.00
Space group Pm-3m (No. 221)
Asymmetric unit:
Cu: 0.000 0.000 0.000
Mo: 0.000 0.000 0.500
Br: 0.500 0.500 0.500

Entry 6:
Compound: Cu2MoBr
Source: the Alexandria database
Functional: PBE-GGA
Structure: optimized geometry

Values from the calculation:
- Density of states at the Fermi level: 0.93 states/eV/atom
- Volume: 16.18 Å³ per atom
- Formation energy (no corrections): 0.924 eV per atom

abc: 3.735 3.735 9.280
angles: 90.00 90.00 90.00
Space group I4/mmm (No. 139)
Asymmetric unit:
Cu: 0.000 0.500 0.250
Mo: 0.000 0.000 0.000
Br: 0.000 0.000 0.500

Entry 7:
Compound: CuMo2Br
Source: the Alexandria database
Functional: PBE-GGA
Structure: optimized geometry

Values from the calculation:
- Density of states at the Fermi level: 1.02 states/eV/atom
- Volume: 15.12 Å³ per atom
- Formation energy (no corrections): 0.899 eV per atom

abc: 6.231 6.231 6.231
angles: 90.00 90.00 90.00
Space group Fm-3m (No. 225)
Asymmetric unit:
Cu: 0.000 0.000 0.000
Mo: 0.250 0.250 0.250
Br: 0.000 0.000 0.500

Entry 8:
Compound: CuMo2Br
Source: the Alexandria database
Functional: PBE-GGA
Structure: optimized geometry

Values from the calculation:
- Density of states at the Fermi level: 0.30 states/eV/atom
- Volume: 19.35 Å³ per atom
- Formation energy (no corrections): 0.645 eV per atom

abc: 3.254 4.626 5.261
angles: 90.00 102.22 90.00
Space group P2/m (No. 10)
Asymmetric unit:
Cu: 0.000 0.000 0.000
Mo: 0.323 0.500 0.168
Br: 0.500 0.000 0.500

Entry 9:
Compound: CuMo2Br
Source: the Alexandria database
Functional: PBE-GGA
Structure: optimized geometry

Values from the calculation:
- Density of states at the Fermi level: 0.52 states/eV/atom
- Volume: 17.15 Å³ per atom
- Formation energy (no corrections): 0.472 eV per atom

abc: 3.274 3.274 6.400
angles: 90.00 90.00 90.00
Space group P4mm (No. 99)
Asymmetric unit:
Cu: 0.000 0.000 0.000
Mo: 0.000 0.000 0.416
Mo: 0.500 0.500 0.215
Br: 0.500 0.500 0.761

Entry 10:
Compound: CuMoBr
Source: the Alexandria database
Functional: PBE-GGA
Structure: optimized geometry

Values from the calculation:
- Density of states at the Fermi level: 0.89 states/eV/atom
- Volume: 16.54 Å³ per atom
- Formation energy (no corrections): 0.845 eV per atom

abc: 4.4359 4.4359 2.9114
angles: 90.00 90.00 120.00
Space group P-6m2 (No. 187)
Asymmetric unit:
Cu: 0.0000 0.0000 0.0000
Mo: 0.6667 0.3333 0.5000
Br: 0.3333 0.6667 0.5000

Entry 11:
Compound: Cu2MoBr
Source: the Alexandria database
Functional: PBE-GGA
Structure: optimized geometry

Values from the calculation:
- Density of states at the Fermi level: 0.58 states/eV/atom
- Volume: 16.01 Å³ per atom
- Formation energy (no corrections): 0.454 eV per atom

abc: 3.090 3.090 6.706
angles: 90.00 90.00 90.00
Space group P4mm (No. 99)
Asymmetric unit:
Cu: 0.000 0.000 0.000
Cu: 0.500 0.500 0.175
Mo: 0.000 0.000 0.404
Br: 0.500 0.500 0.649

Entry 12:
Compound: CuMo2Br
Source: the Alexandria database
Functional: PBE-GGA
Structure: optimized geometry

Values from the calculation:
- Density of states at the Fermi level: 0.73 states/eV/atom
- Volume: 17.43 Å³ per atom
- Formation energy (no corrections): 0.505 eV per atom

abc: 3.268 4.968 8.586
angles: 90.00 90.00 90.00
Space group Cmm2 (No. 35)
Asymmetric unit:
Cu: 0.000 0.000 0.000
Mo: 0.000 0.000 0.459
Mo: 0.000 0.500 0.238
Br: 0.000 0.500 0.733

Entry 13:
Compound: Cu2MoBr
Source: the Alexandria database
Functional: PBE-GGA
Structure: optimized geometry

Values from the calculation:
- Density of states at the Fermi level: 0.61 states/eV/atom
- Volume: 15.70 Å³ per atom
- Formation energy (no corrections): 0.613 eV per atom

abc: 8.533 2.932 5.086
angles: 90.00 99.16 90.00
Space group Cm (No. 8)
Asymmetric unit:
Cu: 0.000 0.000 0.000
Cu: 0.240 0.500 0.174
Mo: 0.258 0.000 0.718
Br: 0.018 0.500 0.507

Entry 14:
Compound: Cu2MoBr
Source: the Alexandria database
Functional: PBE-GGA
Structure: optimized geometry

Values from the calculation:
- Density of states at the Fermi level: 0.94 states/eV/atom
- Volume: 16.17 Å³ per atom
- Formation energy (no corrections): 0.534 eV per atom

abc: 2.9574 2.9574 25.6125
angles: 90.00 90.00 120.00
Space group R-3m (No. 166, hexagonal axes)
Asymmetric unit:
Cu: 0.0000 0.0000 0.2474
Mo: 0.0000 0.0000 0.5000
Br: 0.0000 0.0000 0.0000

Entry 15:
Compound: CuMo2Br
Source: the Alexandria database
Functional: PBE-GGA
Structure: optimized geometry

Values from the calculation:
- Density of states at the Fermi level: 0.94 states/eV/atom
- Volume: 16.32 Å³ per atom
- Formation energy (no corrections): 0.892 eV per atom

abc: 3.277 4.562 8.732
angles: 90.00 90.00 90.00
Space group Cmmm (No. 65)
Asymmetric unit:
Cu: 0.000 0.000 0.000
Mo: 0.000 0.500 0.237
Br: 0.000 0.000 0.500

Entry 16:
Compound: CuMo2Br
Source: the Alexandria database
Functional: PBE-GGA
Structure: optimized geometry

Values from the calculation:
- Density of states at the Fermi level: 0.58 states/eV/atom
- Volume: 16.08 Å³ per atom
- Formation energy (no corrections): 0.933 eV per atom

abc: 4.493 4.493 6.373
angles: 90.00 90.00 90.00
Space group I-4m2 (No. 119)
Asymmetric unit:
Cu: 0.000 0.000 0.000
Mo: 0.000 0.000 0.500
Mo: 0.000 0.500 0.750
Br: 0.000 0.500 0.250

Entry 17:
Compound: Cu3MoBr
Source: the Alexandria database
Functional: PBE-GGA
Structure: optimized geometry

Values from the calculation:
- Density of states at the Fermi level: 0.31 states/eV/atom
- Volume: 19.83 Å³ per atom
- Formation energy (no corrections): 1.502 eV per atom

abc: 4.629 4.629 4.629
angles: 90.00 90.00 90.00
Space group Pm-3m (No. 221)
Asymmetric unit:
Cu: 0.000 0.000 0.500
Mo: 0.500 0.500 0.500
Br: 0.000 0.000 0.000

Entry 18:
Compound: CuMo2Br
Source: the Alexandria database
Functional: PBE-GGA
Structure: optimized geometry

Values from the calculation:
- Density of states at the Fermi level: 1.07 states/eV/atom
- Volume: 15.98 Å³ per atom
- Formation energy (no corrections): 0.952 eV per atom

abc: 5.325 8.311 2.889
angles: 90.00 90.00 90.00
Space group Cmmm (No. 65)
Asymmetric unit:
Cu: 0.000 0.000 0.000
Mo: 0.250 0.250 0.500
Br: 0.000 0.500 0.000

Entry 19:
Compound: Cu2MoBr
Source: the Alexandria database
Functional: PBE-GGA
Structure: optimized geometry

Values from the calculation:
- Density of states at the Fermi level: 0.61 states/eV/atom
- Volume: 16.27 Å³ per atom
- Formation energy (no corrections): 0.731 eV per atom

abc: 2.963 4.662 9.424
angles: 90.00 90.00 90.00
Space group Imm2 (No. 44)
Asymmetric unit:
Cu: 0.000 0.000 0.000
Cu: 0.000 0.500 0.256
Mo: 0.000 0.500 0.743
Br: 0.000 0.000 0.464

Entry 20:
Compound: Cu2MoBr
Source: the Alexandria database
Functional: PBE-GGA
Structure: optimized geometry

Values from the calculation:
- Density of states at the Fermi level: 0.63 states/eV/atom
- Volume: 16.73 Å³ per atom
- Formation energy (no corrections): 1.100 eV per atom

abc: 6.444 6.444 6.444
angles: 90.00 90.00 90.00
Space group Fm-3m (No. 225)
Asymmetric unit:
Cu: 0.250 0.250 0.250
Mo: 0.000 0.000 0.000
Br: 0.000 0.000 0.500